Record 1
Computed, not measured: an optimized crystal structure of SrCeY4S8 at the PBE level of DFT.

The calculation puts the uncorrected formation energy at -190.6 kJ/mol of atoms.

abc: 8.1879 8.1879 8.2668
angles: 60.32 60.32 60.00
Last column: nearest neighbours and their distance in Å.
Fractional positions:
S (0.2406, 0.7915, 0.7274)  2 Y 2.71, 1 Sr 2.79, 1 Ce 2.80
S (0.7915, 0.2406, 0.7274)  2 Y 2.71, 1 Sr 2.79, 1 Ce 2.80
S (0.2362, 0.2362, 0.2915)  3 Y 2.73, 1 Sr 2.82
S (0.2406, 0.2406, 0.7274)  2 Y 2.71, 1 Sr 2.79, 1 Ce 2.80
S (0.7517, 0.7517, 0.2659)  3 Y 2.64-2.82, 1 Ce 2.90
S (0.7517, 0.2306, 0.2659)  3 Y 2.64-2.82, 1 Ce 2.90
S (0.7575, 0.7575, 0.7275)  4 Y 2.69-2.84
S (0.2306, 0.7517, 0.2659)  3 Y 2.64-2.82, 1 Ce 2.90
Sr (0.3745, 0.3745, 0.8764)  4 S 2.79-2.82
Y (0.6253, 0.6253, 0.1242)  4 S 2.64-2.69
Y (0.0016, 0.0016, 0.5010)  6 S 2.71-2.84
Y (0.4958, 0.0016, 0.5010)  6 S 2.71-2.84
Y (0.0016, 0.4958, 0.5010)  6 S 2.71-2.84
Ce (0.0008, 0.0008, 0.9975)  6 S 2.80-2.90

Record 2
Computed, not measured: an optimized crystal structure of LiVSe3 at the PBE level of DFT.

The calculation puts the uncorrected formation energy at -65.5 kJ/mol of atoms.

abc: 6.5468 6.2664 6.5703
angles: 90.00 59.33 90.00
Last column: nearest neighbours and their distance in Å.
Fractional positions:
Se (0.3155, 0.4971, 0.8252)  2 V 2.43-2.48, 1 Li 2.72
Se (0.6845, 0.9971, 0.1748)  2 V 2.43-2.48, 1 Li 2.72
Se (0.6845, 0.5029, 0.1748)  2 V 2.43-2.48, 1 Li 2.72
Se (0.3155, 0.0029, 0.8252)  2 V 2.43-2.48, 1 Li 2.72
Se (0.0155, 0.2500, 0.4286)  1 V 2.24
Se (0.9845, 0.7500, 0.5714)  1 V 2.24
V (0.9977, 0.2500, 0.0975)  5 Se 2.24-2.48
V (0.0023, 0.7500, 0.9025)  5 Se 2.24-2.48
Li (0.3640, 0.7500, 0.1343)  5 Se 2.67-2.73
Li (0.6360, 0.2500, 0.8657)  5 Se 2.67-2.73

Record 3
Computed, not measured: an optimized crystal structure of TbGe2Ir at the PBE level of DFT.

Its formation energy is 0.356 eV per formula unit.

abc: 3.1498 3.1498 9.8208
angles: 80.77 80.77 60.00
Last column: nearest neighbours and their distance in Å.
Fractional positions:
Ge (0.1022, 0.1022, 0.6935)  3 Ir 2.61
Ge (0.8978, 0.8978, 0.3065)  3 Ir 2.61
Ir (0.5000, 0.5000, 0.5000)  6 Ge 2.61
Tb (0.0000, 0.0000, 0.0000)  2 Ge 2.96, 6 Tb 3.15

Record 4
Computed, not measured: an optimized crystal structure of ErAs2Pd7 at the PBE level of DFT.

Its formation energy is -6.038 eV per formula unit.

abc: 4.1193 4.1193 10.5681
angles: 101.24 101.24 90.00
Last column: nearest neighbours and their distance in Å.
Fractional positions:
Er (0.0000, 0.0000, 0.0000)  12 Pd 2.91-2.93
As (0.6737, 0.6737, 0.3474)  8 Pd 2.52-2.58
As (0.3263, 0.3263, 0.6526)  8 Pd 2.52-2.58
Pd (0.5000, 0.5000, 0.0000)  4 Er 2.91, 8 Pd 2.93
Pd (0.7500, 0.2500, 0.5000)  4 As 2.58
Pd (0.8974, 0.3974, 0.7948)  2 As 2.52
Pd (0.1026, 0.6026, 0.2052)  2 As 2.52
Pd (0.2500, 0.7500, 0.5000)  4 As 2.58
Pd (0.6026, 0.1026, 0.2052)  2 As 2.52
Pd (0.3974, 0.8974, 0.7948)  2 As 2.52

Record 5
Computed, not measured: an optimized crystal structure of Li2YCdP at the PBE level of DFT.

Its formation energy is -2.403 eV per formula unit.

abc: 4.7080 4.7080 5.3930
angles: 90.00 90.00 90.00
Last column: nearest neighbours and their distance in Å.
Fractional positions:
Y (0.0000, 0.0000, 0.5000)  2 P 2.70
Li (0.5000, 0.0000, 0.0000)  2 P 2.35
Li (0.0000, 0.5000, 0.0000)  2 P 2.35
P (0.0000, 0.0000, 0.0000)  4 Li 2.35
Cd (0.5000, 0.5000, 0.5000)  4 Y 3.33, 8 Li 3.58

Record 6
Computed, not measured: an optimized crystal structure of Li3SmSc2S6 at the PBE level of DFT.

The calculation puts the uncorrected formation energy at -170.8 kJ/mol of atoms.

abc: 6.5923 6.5923 6.5085
angles: 99.71 99.71 120.03
Last column: nearest neighbours and their distance in Å.
Fractional positions:
S (0.9187, 0.5667, 0.7562)  3 Li 2.58-2.75, 2 Sc 2.61, 1 Sm 2.76
S (0.4333, 0.0813, 0.2438)  3 Li 2.58-2.75, 2 Sc 2.61, 1 Sm 2.76
S (0.5667, 0.9187, 0.7562)  3 Li 2.58-2.75, 2 Sc 2.61, 1 Sm 2.76
S (0.7302, 0.7302, 0.2467)  3 Li 2.59-2.76, 2 Sc 2.62, 1 Sm 2.77
S (0.2698, 0.2698, 0.7533)  3 Li 2.59-2.76, 2 Sc 2.62, 1 Sm 2.77
S (0.0813, 0.4333, 0.2438)  3 Li 2.58-2.75, 2 Sc 2.61, 1 Sm 2.76
Sc (0.6667, 0.3333, 0.0000)  6 S 2.61-2.62
Sc (0.3333, 0.6667, 0.0000)  6 S 2.61-2.62
Li (0.8309, 0.1691, 0.5000)  6 S 2.58-2.76
Li (0.1691, 0.8309, 0.5000)  6 S 2.58-2.76
Li (0.5000, 0.5000, 0.5000)  6 S 2.59-2.75
Sm (0.0000, 0.0000, 0.0000)  6 S 2.76-2.77